Record 1
CoPt3: relaxed, GGA-PBEsol.

The structure in POSCAR format:
```
CoPt3
1.0
2.7077 0.0000 0.0000
-1.3538 4.4959 0.0053
0.0000 -0.8579 4.6134
Pt Co
3 1
Cartesian
1.3538 1.9881 1.1219 Pt
0.0000 1.6499 3.4968 Pt
1.3538 -0.4289 2.3067 Pt
0.0000 0.0000 0.0000 Co
```

Results
Its total DFT energy (no corrections) is -7.189 eV/atom. Its volume is 56 Å³ per cell. As for the crystal system: monoclinic. For the energy of formation, the calculation gives -0.7 kcal/mol of atoms.

=====

Record 2
CoPt2: relaxed, GGA-PBEsol.

The structure in POSCAR format:
```
CoPt2
1.0
-1.8841 -0.1010 1.9237
-1.1178 -2.1342 -1.2069
4.7713 -2.3049 2.6649
Pt Co
2 1
Cartesian
-0.4752 -2.1911 1.3068 Pt
2.2445 -2.3490 2.0750 Pt
0.0000 0.0000 0.0000 Co
```

Results
Its total DFT energy (no corrections) is -7.312 eV/atom. Its volume is 41 Å³ per cell. As for the crystal system: tetragonal. For the energy of formation, the calculation gives -2.1 kcal/mol of atoms.

=====

Record 3
CoPt3: relaxed, GGA-PBEsol.

The structure in POSCAR format:
```
CoPt3
1.0
-3.7399 -1.9457 -2.0731
2.7047 -4.6641 -0.5019
-3.0243 -2.6039 7.8998
Co Pt
4 12
Cartesian
-1.3065 -3.2101 0.9207 Co
-2.7530 -6.0036 4.4041 Co
-3.8491 -3.0230 0.0090 Co
-0.2104 -6.1907 5.3158 Co
-1.5376 -3.9161 5.5574 Pt
-2.0614 -2.3642 3.3554 Pt
-2.2769 -6.0271 7.0235 Pt
-3.4895 -8.1336 5.8649 Pt
-1.9981 -6.8495 1.9694 Pt
-3.2740 -4.4706 2.1969 Pt
-2.5219 -5.2976 -0.2327 Pt
-0.7855 -4.7431 3.1279 Pt
-4.1431 -3.6207 4.6574 Pt
-0.5701 -1.0801 -0.5402 Pt
0.0836 -5.5930 0.6674 Pt
-1.7827 -3.1866 -1.6987 Pt
```

Results
Its total DFT energy (no corrections) is -7.173 eV/atom. Its volume is 225 Å³ per cell. As for the crystal system: orthorhombic. For the energy of formation, the calculation gives -0.4 kcal/mol of atoms.

=====

Record 4
CoPt3: relaxed, GGA-PBEsol.

The structure in POSCAR format:
```
CoPt3
1.0
2.7095 0.0000 0.0000
0.0000 4.6746 0.0000
-1.3548 -2.3373 4.4574
Co Pt
1 3
Cartesian
0.0000 0.0025 0.0000 Co
0.0000 3.0848 2.3009 Pt
1.3548 2.3981 0.0000 Pt
1.3548 0.7475 2.1564 Pt
```

Results
Its total DFT energy (no corrections) is -7.145 eV/atom. Its volume is 56 Å³ per cell. As for the crystal system: orthorhombic. For the energy of formation, the calculation gives 0.3 kcal/mol of atoms.

=====

Record 5
Co4Pt: relaxed, GGA-PBEsol.

The structure in POSCAR format:
```
Co4Pt
1.0
-3.4909 -0.6308 0.3896
-1.1531 -1.2171 4.0422
-2.3271 3.5128 1.1815
Pt Co
1 4
Cartesian
0.0000 0.0000 0.0000 Pt
-3.2586 0.1986 3.8142 Co
-1.6312 0.1375 1.9517 Co
-5.3399 1.5274 3.6616 Co
-3.7125 1.4663 1.7991 Co
```

Results
Its total DFT energy (no corrections) is -7.607 eV/atom. Its volume is 57 Å³ per cell. As for the crystal system: tetragonal. For the energy of formation, the calculation gives -0.6 kcal/mol of atoms.

=====

Record 6
Co3Pt: relaxed, GGA-PBEsol.

The structure in POSCAR format:
```
Co3Pt
1.0
-3.2830 -1.0044 -2.2209
2.6395 -1.7902 -3.0921
-0.2454 -4.5172 2.4058
Pt Co
2 6
Cartesian
-0.8723 -3.3658 -0.9524 Pt
1.7475 -1.1853 -2.0473 Pt
0.3943 -5.3871 -1.9106 Co
0.2355 -3.6812 1.3167 Co
-0.8107 -1.0657 -2.0837 Co
1.6859 -3.4854 -0.9160 Co
0.3591 -1.4059 0.1049 Co
0.5161 -3.1452 -3.1046 Co
```

Results
Its total DFT energy (no corrections) is -7.615 eV/atom. Its volume is 93 Å³ per cell. As for the crystal system: orthorhombic. For the energy of formation, the calculation gives -1.6 kcal/mol of atoms.

=====

Record 7
CoPt2: relaxed, GGA-PBEsol.

The structure in POSCAR format:
```
CoPt2
1.0
2.6962 0.0000 0.0000
-1.3481 5.0335 0.0034
0.0000 -1.6741 6.0496
Co Pt
2 4
Cartesian
1.3481 4.4506 1.1820 Co
0.0000 -1.0911 4.8710 Co
0.0000 1.7580 5.2886 Pt
1.3481 0.4662 3.2350 Pt
0.0000 2.8932 2.8180 Pt
1.3481 1.6015 0.7643 Pt
```

Results
Its total DFT energy (no corrections) is -7.256 eV/atom. Its volume is 82 Å³ per cell. As for the crystal system: monoclinic. For the energy of formation, the calculation gives -0.8 kcal/mol of atoms.

=====

Record 8
CoPt: relaxed, GGA-PBEsol.

The structure in POSCAR format:
```
CoPt
1.0
2.6670 0.0000 0.0000
0.0000 2.6670 0.0000
0.0000 0.0000 7.2194
Co Pt
2 2
Cartesian
1.3335 0.0000 0.7668 Co
0.0000 1.3335 6.4526 Co
1.3335 0.0000 4.6595 Pt
0.0000 1.3335 2.5599 Pt
```

Results
Its total DFT energy (no corrections) is -7.387 eV/atom. Its volume is 51 Å³ per cell. As for the crystal system: tetragonal. For the energy of formation, the calculation gives -0.8 kcal/mol of atoms.